DFT (PBE) results for a geometry-optimized Li5Tl2Ga structure.

```
data_Li5Tl2Ga
_chemical_formula_sum 'Li10 Tl4 Ga2'
_symmetry_space_group_name_H-M 'I 4/m m m'
_symmetry_Int_Tables_number 139
_symmetry_space_group_name_Hall '-I 4 2'
_cell_length_a 4.773
_cell_length_b 4.773
_cell_length_c 12.978
_cell_angle_alpha 90.00
_cell_angle_beta 90.00
_cell_angle_gamma 90.00
loop_
_atom_site_label
_atom_site_fract_x
_atom_site_fract_y
_atom_site_fract_z
Li1 0.000 0.000 0.000
Li2 0.000 0.500 0.115
Tl1 0.000 0.000 0.249
Ga1 0.000 0.000 0.500
```

The formation energy is -1.746 eV/f.u. As for the total energy: -38.15 eV per cell. Its crystal system is tetragonal.

---

DFT (PBE) results for a geometry-optimized Li3TlGa structure.

```
data_Li3TlGa
_chemical_formula_sum 'Li3 Tl1 Ga1'
_symmetry_space_group_name_H-M 'P m -3 m'
_symmetry_Int_Tables_number 221
_symmetry_space_group_name_Hall '-P 4 2 3'
_cell_length_a 5.121
_cell_length_b 5.121
_cell_length_c 5.121
_cell_angle_alpha 90.00
_cell_angle_beta 90.00
_cell_angle_gamma 90.00
loop_
_atom_site_label
_atom_site_fract_x
_atom_site_fract_y
_atom_site_fract_z
Li1 0.000 0.000 0.500
Tl1 0.000 0.000 0.000
Ga1 0.500 0.500 0.500
```

The energy above the most stable polymorph in this dataset is 500 meV per atom. The formation energy is 1.254 eV/f.u. As for the total energy: -9.88 eV per cell. Its crystal system is cubic.

---

DFT (PBE) results for a geometry-optimized Li3TlGa structure.

```
data_Li3TlGa
_chemical_formula_sum 'Li6 Tl2 Ga2'
_symmetry_space_group_name_H-M 'P 1 21/m 1'
_symmetry_Int_Tables_number 11
_cell_length_a 5.579
_cell_length_b 4.533
_cell_length_c 7.135
_cell_angle_alpha 90.00
_cell_angle_beta 100.68
_cell_angle_gamma 90.00
loop_
_symmetry_equiv_pos_as_xyz
'x,y,z'
'-x,-y,-z'
'-x,y+1/2,-z'
'x,-y+1/2,z'
loop_
_atom_site_label
_atom_site_fract_x
_atom_site_fract_y
_atom_site_fract_z
Li1 0.053 0.250 0.324
Li2 0.247 0.250 0.752
Li3 0.441 0.250 0.142
Tl1 0.312 0.750 0.458
Ga1 0.150 0.750 0.039
```

The energy above the most stable polymorph in this dataset is 0 meV per atom. The formation energy is -1.243 eV/f.u. As for the total energy: -24.76 eV per cell. Its crystal system is monoclinic.